[1]
! Li2InPd6, relaxed, DFT PBE; values from VASP
&SYSTEM
  ibrav = 0, nat = 9, ntyp = 3
/
ATOMIC_SPECIES
Li 6.94 Li.upf
In 114.82 In.upf
Pd 106.42 Pd.upf
CELL_PARAMETERS angstrom
-2.299 3.730 4.173
2.299 -3.730 4.173
2.299 3.730 -4.173
ATOMIC_POSITIONS crystal
Li 0.158 0.158 0.000
Li 0.842 0.842 0.000
In 0.500 0.500 0.000
Pd 0.018 0.330 0.688
Pd 0.301 0.000 0.301
Pd 0.358 0.670 0.688
Pd 0.642 0.330 0.312
Pd 0.699 0.000 0.699
Pd 0.982 0.670 0.312
! Energy of formation from the pure elements   -0.2891 eV per atom
! Crystal system   orthorhombic
! DOS at the Fermi energy   5.99 states/eV/cell
! Offset from the most stable computed form   78 meV/atom

[2]
! Rb2Sn4Au5, relaxed, DFT PBE; values from VASP
&SYSTEM
  ibrav = 0, nat = 11, ntyp = 3
/
ATOMIC_SPECIES
Rb 85.47 Rb.upf
Sn 118.71 Sn.upf
Au 196.97 Au.upf
CELL_PARAMETERS angstrom
0.000 6.385 7.386
3.524 0.000 7.386
3.524 6.385 0.000
ATOMIC_POSITIONS crystal
Rb 0.138 0.138 0.862
Rb 0.862 0.862 0.138
Sn 0.214 0.536 0.464
Sn 0.464 0.786 0.214
Sn 0.536 0.214 0.786
Sn 0.786 0.464 0.536
Au 0.000 0.000 0.500
Au 0.250 0.250 0.250
Au 0.500 0.500 0.000
Au 0.500 0.500 0.500
Au 0.750 0.750 0.750
! Energy of formation from the pure elements   -0.2444 eV per atom
! Crystal system   orthorhombic
! DOS at the Fermi energy   3.46 states/eV/cell

[3]
! Tb2Ce3DySe6, relaxed, DFT PBE; values from VASP
&SYSTEM
  ibrav = 0, nat = 12, ntyp = 4
/
ATOMIC_SPECIES
Tb 158.93 Tb.upf
Ce 140.12 Ce.upf
Dy 162.50 Dy.upf
Se 78.96 Se.upf
CELL_PARAMETERS angstrom
3.567 -6.185 0.000
3.567 6.185 0.000
-2.382 0.000 6.853
ATOMIC_POSITIONS crystal
Tb 0.167 0.833 0.000
Tb 0.833 0.167 0.000
Ce 0.000 0.000 0.500
Ce 0.333 0.667 0.500
Ce 0.667 0.333 0.500
Dy 0.500 0.500 0.000
Se 0.088 0.420 0.761
Se 0.248 0.248 0.240
Se 0.420 0.088 0.761
Se 0.580 0.912 0.239
Se 0.752 0.752 0.760
Se 0.912 0.580 0.239
! Crystal system   monoclinic
! Formation energy from raw total energies   -1.81 eV/atom
! DOS at the Fermi energy   19.12 states/eV/cell

[4]
! CsTmNpS4, relaxed, DFT PBE; values from VASP
&SYSTEM
  ibrav = 0, nat = 14, ntyp = 4
/
ATOMIC_SPECIES
Cs 132.91 Cs.upf
Tm 168.93 Tm.upf
Np 237.00 Np.upf
S 32.06 S.upf
CELL_PARAMETERS angstrom
-4.276 4.306 5.952
4.276 -4.306 5.952
4.276 4.306 -5.952
ATOMIC_POSITIONS crystal
Cs 0.377 0.127 0.250
Cs 0.623 0.873 0.750
Tm 0.000 0.000 0.500
Tm 0.000 0.500 0.000
Np 0.000 0.500 0.500
Np 0.500 0.500 0.000
S 0.174 0.725 0.449
S 0.223 0.275 0.949
S 0.229 0.283 0.554
S 0.229 0.675 0.946
S 0.771 0.325 0.054
S 0.771 0.717 0.446
S 0.777 0.725 0.051
S 0.826 0.275 0.551
! Crystal system   orthorhombic
! Formation energy from raw total energies   -1.48 eV/atom
! DOS at the Fermi energy   17.81 states/eV/cell

[5]
! Sr3HfBr, relaxed, DFT PBE; values from VASP
&SYSTEM
  ibrav = 0, nat = 5, ntyp = 3
/
ATOMIC_SPECIES
Sr 87.62 Sr.upf
Hf 178.49 Hf.upf
Br 79.90 Br.upf
CELL_PARAMETERS angstrom
6.469 0.000 0.000
0.000 6.469 0.000
0.000 0.000 6.469
ATOMIC_POSITIONS crystal
Sr 0.000 0.000 0.500
Sr 0.000 0.500 0.000
Sr 0.500 0.000 0.000
Hf 0.000 0.000 0.000
Br 0.500 0.500 0.500
! Crystal system   cubic
! Formation energy from raw total energies   0.54 eV/atom
! DOS at the Fermi energy   4.96 states/eV/cell
! Offset from the most stable computed form   382 meV/atom

[6]
! Y2ScSe4, relaxed, DFT PBE; values from VASP
&SYSTEM
  ibrav = 0, nat = 14, ntyp = 3
/
ATOMIC_SPECIES
Y 88.91 Y.upf
Sc 44.96 Sc.upf
Se 78.96 Se.upf
CELL_PARAMETERS angstrom
1.939 -6.685 0.000
1.939 6.685 0.000
0.000 0.000 13.688
ATOMIC_POSITIONS crystal
Y 0.131 0.869 0.574
Y 0.131 0.869 0.926
Y 0.869 0.131 0.074
Y 0.869 0.131 0.426
Sc 0.369 0.631 0.750
Sc 0.631 0.369 0.250
Se 0.017 0.983 0.750
Se 0.219 0.781 0.125
Se 0.219 0.781 0.375
Se 0.500 0.500 0.000
Se 0.500 0.500 0.500
Se 0.781 0.219 0.625
Se 0.781 0.219 0.875
Se 0.983 0.017 0.250
! Crystal system   orthorhombic
! Formation energy from raw total energies   -1.73 eV/atom
! DOS at the Fermi energy   5.84 states/eV/cell
! Offset from the most stable computed form   83 meV/atom

[7]
! ErCu5Ni2, relaxed, DFT PBE; values from VASP
&SYSTEM
  ibrav = 0, nat = 16, ntyp = 3
/
ATOMIC_SPECIES
Er 167.26 Er.upf
Cu 63.55 Cu.upf
Ni 58.69 Ni.upf
CELL_PARAMETERS angstrom
3.711 0.000 0.000
0.000 7.128 0.000
0.000 0.000 8.551
ATOMIC_POSITIONS crystal
Er 0.000 0.000 0.000
Er 0.500 0.500 0.500
Cu 0.000 0.178 0.347
Cu 0.000 0.178 0.653
Cu 0.000 0.500 0.000
Cu 0.000 0.822 0.347
Cu 0.000 0.822 0.653
Cu 0.500 0.000 0.500
Cu 0.500 0.322 0.153
Cu 0.500 0.322 0.847
Cu 0.500 0.678 0.153
Cu 0.500 0.678 0.847
Ni 0.000 0.500 0.274
Ni 0.000 0.500 0.726
Ni 0.500 0.000 0.226
Ni 0.500 0.000 0.774
! Energy of formation from the pure elements   -0.0578 eV per atom
! Crystal system   orthorhombic
! DOS at the Fermi energy   6.13 states/eV/cell

[8]
! Ac3NdIn, relaxed, DFT PBE; values from VASP
&SYSTEM
  ibrav = 0, nat = 10, ntyp = 3
/
ATOMIC_SPECIES
Ac 227.00 Ac.upf
Nd 144.24 Nd.upf
In 114.82 In.upf
CELL_PARAMETERS angstrom
2.627 -13.607 0.000
2.627 13.607 0.000
0.000 0.000 5.255
ATOMIC_POSITIONS crystal
Ac 0.055 0.945 0.750
Ac 0.250 0.750 0.750
Ac 0.442 0.558 0.750
Ac 0.558 0.442 0.250
Ac 0.750 0.250 0.250
Ac 0.945 0.055 0.250
Nd 0.347 0.653 0.250
Nd 0.653 0.347 0.750
In 0.154 0.846 0.250
In 0.846 0.154 0.750
! Energy of formation from the pure elements   -0.1269 eV per atom
! Crystal system   orthorhombic
! DOS at the Fermi energy   12.70 states/eV/cell
! Offset from the most stable computed form   0 meV/atom

[9]
! LaNbI2, relaxed, DFT PBE; values from VASP
&SYSTEM
  ibrav = 0, nat = 16, ntyp = 3
/
ATOMIC_SPECIES
La 138.91 La.upf
Nb 92.91 Nb.upf
I 126.90 I.upf
CELL_PARAMETERS angstrom
7.540 0.000 0.000
0.000 7.540 0.000
0.000 0.000 7.540
ATOMIC_POSITIONS crystal
La 0.000 0.000 0.000
La 0.000 0.500 0.500
La 0.500 0.000 0.500
La 0.500 0.500 0.000
Nb 0.000 0.000 0.500
Nb 0.000 0.500 0.000
Nb 0.500 0.000 0.000
Nb 0.500 0.500 0.500
I 0.250 0.250 0.250
I 0.250 0.250 0.750
I 0.250 0.750 0.250
I 0.250 0.750 0.750
I 0.750 0.250 0.250
I 0.750 0.250 0.750
I 0.750 0.750 0.250
I 0.750 0.750 0.750
! Crystal system   cubic
! Formation energy from raw total energies   0.01 eV/atom
! DOS at the Fermi energy   14.66 states/eV/cell
! Offset from the most stable computed form   0 meV/atom

[10]
! Sb2OsCl, relaxed, DFT PBE; values from VASP
&SYSTEM
  ibrav = 0, nat = 12, ntyp = 3
/
ATOMIC_SPECIES
Sb 121.76 Sb.upf
Os 190.23 Os.upf
Cl 35.45 Cl.upf
CELL_PARAMETERS angstrom
3.361 0.000 0.000
-1.680 2.911 0.000
0.000 0.000 27.646
ATOMIC_POSITIONS crystal
Sb 0.000 0.000 0.000
Sb 0.000 0.000 0.238
Sb 0.333 0.667 0.667
Sb 0.333 0.667 0.905
Sb 0.667 0.333 0.333
Sb 0.667 0.333 0.572
Os 0.000 0.000 0.508
Os 0.333 0.667 0.175
Os 0.667 0.333 0.842
Cl 0.000 0.000 0.774
Cl 0.333 0.667 0.441
Cl 0.667 0.333 0.107
! Crystal system   trigonal
! Formation energy from raw total energies   0.44 eV/atom
! DOS at the Fermi energy   13.34 states/eV/cell
! Offset from the most stable computed form   453 meV/atom

[11]
! LaBe3P3, relaxed, DFT PBE; values from VASP
&SYSTEM
  ibrav = 0, nat = 14, ntyp = 3
/
ATOMIC_SPECIES
La 138.91 La.upf
Be 9.01 Be.upf
P 30.97 P.upf
CELL_PARAMETERS angstrom
8.749 0.000 0.000
-4.375 7.577 0.000
0.000 0.000 3.836
ATOMIC_POSITIONS crystal
La 0.333 0.667 0.250
La 0.667 0.333 0.750
Be 0.056 0.396 0.750
Be 0.339 0.944 0.750
Be 0.396 0.339 0.250
Be 0.604 0.661 0.750
Be 0.661 0.056 0.250
Be 0.944 0.604 0.250
P 0.087 0.686 0.750
P 0.314 0.401 0.750
P 0.401 0.087 0.250
P 0.599 0.913 0.750
P 0.686 0.599 0.250
P 0.913 0.314 0.250
! Energy of formation from the pure elements   -0.6121 eV per atom
! Crystal system   hexagonal
! Offset from the most stable computed form   0 meV/atom

[12]
! CrAg2Mo, relaxed, DFT PBE; values from VASP
&SYSTEM
  ibrav = 0, nat = 8, ntyp = 3
/
ATOMIC_SPECIES
Cr 52.00 Cr.upf
Ag 107.87 Ag.upf
Mo 95.94 Mo.upf
CELL_PARAMETERS angstrom
5.337 0.000 0.000
0.000 9.603 0.000
-0.886 0.000 2.577
ATOMIC_POSITIONS crystal
Cr 0.000 0.000 0.000
Cr 0.500 0.500 0.000
Ag 0.250 0.250 0.500
Ag 0.250 0.750 0.500
Ag 0.750 0.250 0.500
Ag 0.750 0.750 0.500
Mo 0.000 0.500 0.000
Mo 0.500 0.000 0.000
! Energy of formation from the pure elements   0.6072 eV per atom
! Crystal system   monoclinic
! DOS at the Fermi energy   6.66 states/eV/cell
! Offset from the most stable computed form   269 meV/atom